(1)
# SmUGa (PBE, optimized geometry)
# density = 8.9 g cm⁻³
# ΔE to the lowest computed polymorph = 0 meV per atom
data_SmUGa
_cell_length_a 7.004
_cell_length_b 7.004
_cell_length_c 7.004
_cell_angle_alpha 90.00
_cell_angle_beta 90.00
_cell_angle_gamma 90.00
_symmetry_space_group_name_H-M 'F -4 3 m'
_symmetry_Int_Tables_number 216
_symmetry_space_group_name_Hall 'F -4 2 3'
loop_
_atom_site_label
_atom_site_type_symbol
_atom_site_fract_x
_atom_site_fract_y
_atom_site_fract_z
Sm1 Sm 0.000 0.000 0.000
U1 U 0.000 0.000 0.500
Ga1 Ga 0.250 0.250 0.250



(2)
# SmYGa4 (PBE, optimized geometry)
# density = 6.8 g cm⁻³
# ΔE to the lowest computed polymorph = 101 meV per atom
data_SmYGa4
_cell_length_a 4.108
_cell_length_b 18.954
_cell_length_c 6.544
_cell_angle_alpha 90.00
_cell_angle_beta 90.00
_cell_angle_gamma 90.00
_symmetry_space_group_name_H-M 'C m c m'
_symmetry_Int_Tables_number 63
_symmetry_space_group_name_Hall '-C 2c 2'
loop_
_atom_site_label
_atom_site_type_symbol
_atom_site_fract_x
_atom_site_fract_y
_atom_site_fract_z
Sm1 Sm 0.000 0.235 0.250
Y1 Y 0.000 0.089 0.750
Ga1 Ga 0.000 0.069 0.250
Ga2 Ga 0.000 0.357 0.544
Ga3 Ga 0.000 0.500 0.000



(3)
# SmYGa6 (PBE, optimized geometry)
# density = 6.9 g cm⁻³
# raw total energy = -33.79 eV for the cell shown
data_SmYGa6
_cell_length_a 6.3471
_cell_length_b 6.3471
_cell_length_c 4.5479
_cell_angle_alpha 90.00
_cell_angle_beta 90.00
_cell_angle_gamma 120.00
_symmetry_space_group_name_H-M 'P -6 m 2'
_symmetry_Int_Tables_number 187
_symmetry_space_group_name_Hall 'P -6 2'
loop_
_atom_site_label
_atom_site_type_symbol
_atom_site_fract_x
_atom_site_fract_y
_atom_site_fract_z
Sm1 Sm 0.0000 0.0000 0.0000
Y1 Y 0.6667 0.3333 0.5000
Ga1 Ga 0.0395 0.5198 0.0000
Ga2 Ga 0.1890 0.3781 0.5000



(4)
# SmYGa5 (PBE, optimized geometry)
# density = 6.4 g cm⁻³
# raw total energy = -29.42 eV for the cell shown
data_SmYGa5
_cell_length_a 4.215
_cell_length_b 4.215
_cell_length_c 8.531
_cell_angle_alpha 90.00
_cell_angle_beta 90.00
_cell_angle_gamma 90.00
_symmetry_space_group_name_H-M 'P 4/m m m'
_symmetry_Int_Tables_number 123
_symmetry_space_group_name_Hall '-P 4 2'
loop_
_atom_site_label
_atom_site_type_symbol
_atom_site_fract_x
_atom_site_fract_y
_atom_site_fract_z
Sm1 Sm 0.000 0.000 0.000
Y1 Y 0.000 0.000 0.500
Ga1 Ga 0.000 0.500 0.251
Ga2 Ga 0.500 0.500 0.500



(5)
# SmYGa4 (PBE, optimized geometry)
# density = 6.7 g cm⁻³
# ΔE to the lowest computed polymorph = 0 meV per atom
data_SmYGa4
_cell_length_a 4.236
_cell_length_b 7.330
_cell_length_c 8.306
_cell_angle_alpha 90.00
_cell_angle_beta 90.00
_cell_angle_gamma 90.00
_symmetry_space_group_name_H-M 'I m m m'
_symmetry_Int_Tables_number 71
_symmetry_space_group_name_Hall '-I 2 2'
loop_
_atom_site_label
_atom_site_type_symbol
_atom_site_fract_x
_atom_site_fract_y
_atom_site_fract_z
Sm1 Sm 0.000 0.000 0.000
Y1 Y 0.000 0.000 0.500
Ga1 Ga 0.000 0.333 0.250



(6)
# SmYGa4 (PBE, optimized geometry)
# density = 6.9 g cm⁻³
# ΔE to the lowest computed polymorph = 16 meV per atom
data_SmYGa4
_cell_length_a 4.2844
_cell_length_b 4.2844
_cell_length_c 7.8269
_cell_angle_alpha 90.00
_cell_angle_beta 90.00
_cell_angle_gamma 120.00
_symmetry_space_group_name_H-M 'P -6 m 2'
_symmetry_Int_Tables_number 187
_symmetry_space_group_name_Hall 'P -6 2'
loop_
_atom_site_label
_atom_site_type_symbol
_atom_site_fract_x
_atom_site_fract_y
_atom_site_fract_z
Sm1 Sm 0.0000 0.0000 0.0000
Y1 Y 0.0000 0.0000 0.5000
Ga1 Ga 0.3333 0.6667 0.2506
Ga2 Ga 0.6667 0.3333 0.2545



(7)
# SmZnGa (PBE, optimized geometry)
# density = 7.5 g cm⁻³
# raw total energy = -42.75 eV for the cell shown
data_SmZnGa
_cell_length_a 7.339
_cell_length_b 4.485
_cell_length_c 7.647
_cell_angle_alpha 90.00
_cell_angle_beta 90.00
_cell_angle_gamma 90.00
_symmetry_space_group_name_H-M 'P n m a'
_symmetry_Int_Tables_number 62
_symmetry_space_group_name_Hall '-P 2ac 2n'
loop_
_atom_site_label
_atom_site_type_symbol
_atom_site_fract_x
_atom_site_fract_y
_atom_site_fract_z
Sm1 Sm 0.001 0.250 0.214
Zn1 Zn 0.190 0.750 0.420
Ga1 Ga 0.210 0.250 0.592



(8)
# SmZnGa (PBE, optimized geometry)
# density = 6.1 g cm⁻³
# raw total energy = -35.65 eV for the cell shown
data_SmZnGa
_cell_length_a 6.792
_cell_length_b 6.792
_cell_length_c 6.792
_cell_angle_alpha 90.00
_cell_angle_beta 90.00
_cell_angle_gamma 90.00
_symmetry_space_group_name_H-M 'F -4 3 m'
_symmetry_Int_Tables_number 216
_symmetry_space_group_name_Hall 'F -4 2 3'
loop_
_atom_site_label
_atom_site_type_symbol
_atom_site_fract_x
_atom_site_fract_y
_atom_site_fract_z
Sm1 Sm 0.000 0.000 0.000
Zn1 Zn 0.250 0.250 0.250
Ga1 Ga 0.250 0.250 0.750



> Number 1 is which compound?

SmUGa